Sr3Ga4Cu2: relaxed, PBE.

Cell and atoms, written as extended XYZ:
```
9
Lattice="5.833 -2.198 0.000 5.833 2.198 0.000 -1.852 0.000 8.708" Properties=species:S:1:pos:R:3 pbc="T T T"
Sr 0.000 0.000 0.000
Sr 3.228 0.000 2.936
Sr 6.587 0.000 5.773
Ga -0.100 0.000 3.328
Ga 1.474 0.000 8.158
Ga 8.342 0.000 0.550
Ga 9.915 0.000 5.381
Cu 3.210 0.000 6.298
Cu 6.605 0.000 2.410
```

Calculated values
- Formation energy from the elements: -0.347 eV/atom
- Offset from the most stable computed form: 0.00 eV/f.u.
- DOS at the Fermi energy: 5.7 states/eV per cell
- Uncorrected energy: -3.163 eV per atom